Entry 1:
A relaxed ZrAlIn2 crystal. Source: Alexandria, functional GGA-PBEsol.

Summary:
space group	P4mm (99)
energy relative to the elements	-120	meV per atom

Cell: 3.7740 3.7740 5.9500 Å, 90.00 90.00 90.00°
Fractional coordinates of all 4 atoms:
Al 0.5000 0.5000 0.7348
Zr 0.0000 0.0000 0.5095
In 0.0000 0.0000 0.9973
In 0.5000 0.5000 0.2584



Entry 2:
A relaxed Zr2AlIn crystal. Source: Alexandria, functional GGA-PBEsol.

Summary:
space group	I-4m2 (119)
energy relative to the elements	-357	meV per atom

Cell: 4.1345 4.1345 5.6010 Å, 111.66 111.66 90.00°
Fractional coordinates of all 4 atoms:
Al 0.5000 0.5000 0.0000
Zr 0.0000 0.0000 0.0000
Zr 0.7500 0.2500 0.5000
In 0.2500 0.7500 0.5000



Entry 3:
A relaxed Al9Ir2 crystal. Source: Alexandria, functional GGA-PBEsol.

Summary:
space group	P2_1/c (14)
energy relative to the elements	-511	meV per atom

Cell: 6.3475 6.4293 8.6998 Å, 90.00 95.11 90.00°
Fractional coordinates of all 22 atoms:
Ir 0.2354 0.1225 0.1684
Ir 0.7646 0.6225 0.3316
Ir 0.7646 0.8775 0.8316
Ir 0.2354 0.3775 0.6684
Al 0.0995 0.4790 0.2300
Al 0.9005 0.9790 0.2700
Al 0.9005 0.5210 0.7700
Al 0.0995 0.0210 0.7300
Al 0.1110 0.6954 0.5026
Al 0.8890 0.1954 0.9974
Al 0.8890 0.3046 0.4974
Al 0.1110 0.8046 0.0026
Al 0.4025 0.7844 0.2719
Al 0.5975 0.2844 0.2281
Al 0.5975 0.2156 0.7281
Al 0.4025 0.7156 0.7719
Al 0.2894 0.1040 0.4607
Al 0.7106 0.6040 0.0393
Al 0.7106 0.8960 0.5393
Al 0.2894 0.3960 0.9607
Al 0.5000 0.0000 0.0000
Al 0.5000 0.5000 0.5000



Entry 4:
A relaxed Al4Ir crystal. Source: Alexandria, functional GGA-PBEsol.

Summary:
space group	Im-3m (229)
energy relative to the elements	-191	meV per atom

Cell: 4.9581 4.9581 4.9581 Å, 109.47 109.47 109.47°
Fractional coordinates of all 5 atoms:
Ir 0.0000 0.0000 0.0000
Al 0.0000 0.0000 0.5000
Al 0.0000 0.5000 0.0000
Al 0.5000 0.0000 0.0000
Al 0.5000 0.5000 0.5000